No. 1
Here is crystalline K2ZrTl at its relaxed geometry from the Alexandria database. Energies are from PBE-GGA.

The value obtained for the energy of formation from the pure elements is 0.55 eV per atom.

The space group is Cmmm (No. 65) and the conventional cell measures 3.5772, 5.6706 and 13.2641 Å, with angles of 90.00, 90.00 and 90.00 degrees. The inequivalent atoms are K at (0.0000, 0.0000, 0.2446), Zr at (0.0000, 0.5000, 0.5000) and Tl at (0.0000, 0.5000, 0.0000).

=====

No. 2
Here is crystalline Nd4DyY4 at its relaxed geometry from the Alexandria database. Energies are from PBE-GGA.

The value obtained for the energy of formation from the pure elements is 0.02 eV per atom.

The space group is C2/m (No. 12) and the conventional cell measures 11.4015, 5.1295 and 10.8583 Å, with angles of 90.00, 108.34 and 90.00 degrees. The inequivalent atoms are Nd at (0.0000, 0.0000, 0.1677), Nd at (0.1668, 0.5000, 0.3893), Dy at (0.0000, 0.0000, 0.5000), Y at (0.1659, 0.5000, 0.0545) and Y at (0.1674, 0.5000, 0.7231).

=====

No. 3
Here is crystalline Er2HfTe5 at its relaxed geometry from the Alexandria database. Energies are from PBE-GGA.

The calculation puts the uncorrected formation energy at -1.044 eV/atom.

The space group is Cmcm (No. 63) and the conventional cell measures 5.9282, 14.2839 and 14.1668 Å, with angles of 90.00, 90.00 and 90.00 degrees. The inequivalent atoms are Er at (0.0000, 0.1556, 0.0577), Hf at (0.0000, 0.1932, 0.7500), Te at (0.0000, 0.0459, 0.6216), Te at (0.0000, 0.2650, 0.2500) and Te at (0.0000, 0.3224, 0.5844).

=====

No. 4
Here is crystalline NaCu2O3 at its relaxed geometry from the Alexandria database. Energies are from PBE-GGA.

The calculation puts the uncorrected formation energy at -0.838 eV/atom.

The space group is Pmmn (No. 59, origin choice 2) and the conventional cell measures 3.7888, 10.1757 and 4.0182 Å, with angles of 90.00, 90.00 and 90.00 degrees. The inequivalent atoms are Na at (0.2500, 0.2500, 0.1593), Cu at (0.2500, 0.5925, 0.3625), O at (0.2500, 0.0751, 0.5634) and O at (0.2500, 0.7500, 0.1411).

=====

No. 5
Here is crystalline BSI2N at its relaxed geometry from the Alexandria database. Energies are from PBE-GGA.

The calculation puts the uncorrected formation energy at 0.301 eV/atom.

The space group is P4/mmm (No. 123) and the conventional cell measures 8.3326, 8.3326 and 2.6903 Å, with angles of 90.00, 90.00 and 90.00 degrees. The inequivalent atoms are B at (0.0000, 0.0000, 0.0000), S at (0.5000, 0.5000, 0.5000), I at (0.0000, 0.5000, 0.0000) and N at (0.0000, 0.0000, 0.5000).

=====

No. 6
Here is crystalline InSn4I8 at its relaxed geometry from the Alexandria database. Energies are from PBE-GGA.

The calculation puts the uncorrected formation energy at -0.392 eV/atom.

The space group is C2/m (No. 12) and the conventional cell measures 16.2132, 9.5495 and 9.3821 Å, with angles of 90.00, 124.41 and 90.00 degrees. The inequivalent atoms are In at (0.0000, 0.0000, 0.0000), Sn at (0.0000, 0.0000, 0.5000), Sn at (0.0000, 0.5000, 0.5000), Sn at (0.2500, 0.2500, 0.0000), I at (0.0064, 0.2525, 0.7413), I at (0.2414, 0.0000, 0.7584) and I at (0.2414, 0.5000, 0.7538).